Compound: Na3CeI7
Source: Alexandria via LeMat-Bulk
Functional: GGA-PBE
Structure: relaxed

```
11
Lattice="7.361 1.733 3.498 -0.006 7.563 3.498 -0.217 -0.274 8.520" Properties=species:S:1:pos:R:3 pbc="T T T"
Na 4.159 5.256 4.009
Na 1.707 6.392 7.622
Na 5.828 3.131 7.622
I 6.093 7.699 12.418
I 2.173 6.921 10.697
I 0.909 1.149 2.163
I 4.361 2.048 4.967
I 6.236 3.705 10.697
I 4.783 6.044 6.976
I 0.990 4.715 4.967
Ce 6.893 8.711 6.921
```

Output
Its total energy is -33.4 eV for the cell shown. The calculation puts the volume at 44.170 Å³ per atom.



Compound: SmTm4Al
Source: Alexandria via LeMat-Bulk
Functional: GGA-PBE
Structure: relaxed

```
12
Lattice="6.098 -0.639 0.000 -2.466 8.529 0.000 -1.816 -3.945 6.855" Properties=species:S:1:pos:R:3 pbc="T T T"
Tm 0.086 0.823 2.518
Tm -1.147 5.088 4.337
Tm -1.576 -1.667 5.269
Tm 3.289 1.958 1.587
Tm 3.392 5.613 1.587
Tm -1.473 1.987 5.269
Tm 2.963 -1.143 2.518
Tm 1.730 3.122 4.337
Al 4.573 -0.479 0.010
Al -2.757 4.424 6.845
Sm 1.524 -0.160 5.549
Sm 0.291 4.105 1.307
```

Output
Its total energy is -53.2 eV for the cell shown. The calculation puts the volume at 28.812 Å³ per atom. The formation energy is -0.04 eV/atom. The energy above the lowest structure with this stoichiometry comes out at 0.0839 eV per atom.



Compound: V2Sn2Rh
Source: Alexandria via LeMat-Bulk
Functional: GGA-PBE
Structure: relaxed

```
5
Lattice="4.004 0.000 0.000 0.000 4.004 0.000 2.002 2.002 5.930" Properties=species:S:1:pos:R:3 pbc="T T T"
Rh 0.000 0.000 0.000
Sn 4.004 2.002 2.965
Sn 2.002 4.004 2.965
V 2.002 2.002 0.953
V 4.004 4.004 4.978
```

Output
Its total energy is -30.7 eV for the cell shown. The calculation puts the volume at 19.018 Å³ per atom. The formation energy is 0.58 eV/atom. The energy above the lowest structure with this stoichiometry comes out at 0.3974 eV per atom.



Compound: CePu2Th3Se6
Source: Alexandria via LeMat-Bulk
Functional: GGA-PBE
Structure: relaxed

```
12
Lattice="7.168 0.001 0.002 -3.581 6.209 0.002 -1.195 -2.068 6.949" Properties=species:S:1:pos:R:3 pbc="T T T"
Pu 3.589 2.068 0.002
Pu -0.002 4.142 0.002
Th 1.196 2.071 3.476
Th 4.797 -0.008 3.476
Th -2.404 4.151 3.476
Se 3.598 2.049 5.265
Se 0.015 0.026 5.279
Se -0.023 4.141 5.265
Se 2.378 4.117 1.674
Se 2.415 0.002 1.688
Se -1.206 2.093 1.688
Ce 0.000 0.000 0.000
```

Output
Its total energy is -96.9 eV for the cell shown. The calculation puts the volume at 25.782 Å³ per atom.



Compound: V3IBr
Source: Alexandria via LeMat-Bulk
Functional: GGA-PBE
Structure: relaxed

```
5
Lattice="4.605 0.000 0.000 0.000 4.605 0.000 0.000 0.000 4.605" Properties=species:S:1:pos:R:3 pbc="T T T"
V 2.303 0.000 0.000
V 0.000 2.303 0.000
V 0.000 0.000 2.303
Br 0.000 0.000 0.000
I 2.303 2.303 2.303
```

Output
Its total energy is -24.4 eV for the cell shown. The calculation puts the volume at 19.534 Å³ per atom. The energy above the lowest structure with this stoichiometry comes out at 0.0000 eV per atom.



Compound: AlIn2Te
Source: Alexandria via LeMat-Bulk
Functional: GGA-PBE
Structure: relaxed

```
4
Lattice="-3.497 1.348 -0.832 -1.566 -2.646 2.295 0.441 4.613 5.621" Properties=species:S:1:pos:R:3 pbc="T T T"
Al -2.211 2.705 4.818
In 0.434 4.542 5.534
In -2.429 0.419 2.033
Te 0.245 2.569 3.130
```

Output
Its total energy is -12.3 eV for the cell shown. The calculation puts the volume at 26.824 Å³ per atom. The energy above the lowest structure with this stoichiometry comes out at 0.0518 eV per atom.



Compound: KPmGe2Cl8
Source: Alexandria via LeMat-Bulk
Functional: GGA-PBE
Structure: relaxed

```
12
Lattice="6.882 0.198 0.180 0.253 6.381 0.057 0.231 0.087 9.015" Properties=species:S:1:pos:R:3 pbc="T T T"
Cl 1.567 5.063 2.022
Cl 4.891 4.946 0.517
Cl 6.028 1.880 2.165
Cl 5.799 1.603 7.230
Cl 2.474 1.720 8.735
Cl 4.715 4.777 4.094
Cl 2.651 1.889 5.157
Cl 1.338 4.786 7.087
K 0.115 0.044 4.507
Ge 3.438 3.101 6.946
Ge 3.927 3.565 2.305
Pm 0.000 0.000 0.000
```

Output
Its total energy is -47.5 eV for the cell shown. The calculation puts the volume at 32.924 Å³ per atom.



Compound: Ce3SmCl
Source: Alexandria via LeMat-Bulk
Functional: GGA-PBE
Structure: relaxed

```
5
Lattice="5.361 0.000 0.000 0.000 5.361 0.000 0.000 0.000 5.361" Properties=species:S:1:pos:R:3 pbc="T T T"
Ce 0.000 2.681 0.000
Ce 0.000 0.000 2.681
Ce 2.681 0.000 0.000
Cl 0.000 0.000 0.000
Sm 2.681 2.681 2.681
```

Output
Its total energy is -26.2 eV for the cell shown. The calculation puts the volume at 30.821 Å³ per atom.



Which formula does entry 3 have?
V2Sn2Rh